VASP calculation (PBE) on a geometry-optimized ZnAgOF2 structure.

```
ZnAgOF2
1.0
4.2193 0.0000 0.0000
0.0000 4.2193 0.0000
0.0000 0.0000 4.2064
Zn Ag O F
1 1 1 2
direct
0.0000 0.0000 0.0000
0.5000 0.5000 0.5000
0.5000 0.5000 0.0000
0.0000 0.5000 0.5000
0.5000 0.0000 0.5000
```

Values from the calculation:
For the magnetic moment, the calculation gives 0.0 μB/cell. The value obtained for the distance to the lowest polymorph of the same formula is 2.910 eV per formula unit. For the calculated volume, the calculation gives 14.98 Å³/atom. As for the density of states at the Fermi level: 2.2 states/eV/cell.